VASP calculation (PBE) on ZnCd2Br after structural relaxation.

abc: 3.6383 4.7966 5.8366
angles: 90.00 90.00 90.00
Space group Pmmm (No. 47)
Inequivalent atoms, fractional coordinates:
Zn 0.0000 0.0000 0.0000 x1
Cd 0.0000 0.5000 0.5000 x1
Cd 0.5000 0.5000 0.0000 x1
Br 0.5000 0.0000 0.5000 x1

The energy comes out at -4.6 eV for the cell shown. The calculation puts the energy above the most stable polymorph in this dataset at 0.1804 eV/atom. The calculation puts the uncorrected formation energy at 0.03 eV per atom.



VASP calculation (PBE) on FeTePt after structural relaxation.

abc: 6.2577 6.2577 6.2577
angles: 90.00 90.00 90.00
Space group F-43m (No. 216)
Inequivalent atoms, fractional coordinates:
Fe 0.0000 0.0000 0.0000 x4
Te 0.0000 0.0000 0.5000 x4
Pt 0.2500 0.2500 0.7500 x4

The energy comes out at -69.3 eV for the cell shown. The calculation puts the energy above the most stable polymorph in this dataset at 0.0000 eV/atom. The calculation puts the uncorrected formation energy at 0.11 eV per atom.



VASP calculation (PBE) on In5As4 after structural relaxation.

abc: 10.1997 10.1997 4.2310
angles: 90.00 90.00 90.00
Space group I4/mmm (No. 139)
Inequivalent atoms, fractional coordinates:
In 0.0000 0.0000 0.0000 x2
In 0.1684 0.1684 0.5000 x8
As 0.0000 0.3668 0.0000 x8

The energy comes out at -61.1 eV for the cell shown. The calculation puts the formation enthalpy at 0 K at 0.1936 eV/atom. The calculation puts the energy above the most stable polymorph in this dataset at 0.1527 eV/atom.



VASP calculation (PBE) on CuSbMo2 after structural relaxation.

abc: 3.3703 3.3986 5.7543
angles: 90.00 90.00 90.00
Space group Pmmm (No. 47)
Inequivalent atoms, fractional coordinates:
Cu 0.0000 0.0000 0.0000 x1
Sb 0.0000 0.0000 0.5000 x1
Mo 0.5000 0.5000 0.2173 x2

The energy comes out at -28.3 eV for the cell shown. The calculation puts the uncorrected formation energy at 0.40 eV per atom.



VASP calculation (PBE) on Pr2SmHg2Pb2 after structural relaxation.

abc: 5.1241 5.1241 27.8707
angles: 90.00 90.00 120.00
Space group R-3m (No. 166, hexagonal axes)
Inequivalent atoms, fractional coordinates:
Pr 0.0000 0.0000 0.1303 x6
Sm 0.0000 0.0000 0.0000 x3
Hg 0.0000 0.0000 0.4301 x6
Pb 0.0000 0.0000 0.2755 x6

The energy comes out at -72.5 eV for the cell shown. The calculation puts the formation enthalpy at 0 K at -0.2648 eV/atom.



VASP calculation (PBE) on Ca5InAg2 after structural relaxation.

abc: 8.1382 8.1382 14.7880
angles: 90.00 90.00 90.00
Space group I4/mcm (No. 140)
Inequivalent atoms, fractional coordinates:
Ca 0.0000 0.0000 0.0000 x4
Ca 0.1685 0.3315 0.1442 x16
In 0.0000 0.0000 0.2500 x4
Ag 0.1252 0.3748 0.5000 x8

The energy comes out at -84.7 eV for the cell shown. The calculation puts the formation enthalpy at 0 K at -0.3397 eV/atom.



VASP calculation (PBE) on CaYTl2 after structural relaxation.

abc: 3.7695 3.7695 29.7969
angles: 90.00 90.00 120.00
Space group R3m (No. 160, hexagonal axes)
Inequivalent atoms, fractional coordinates:
Ca 0.0000 0.0000 0.0000 x3
Y 0.0000 0.0000 0.1684 x3
Tl 0.0000 0.0000 0.5828 x3
Tl 0.0000 0.0000 0.7517 x3

The energy comes out at -42.7 eV for the cell shown. The calculation puts the formation enthalpy at 0 K at -0.2589 eV/atom.



VASP calculation (PBE) on AcBi2Pd after structural relaxation.

abc: 4.8520 4.8520 20.0251
angles: 90.00 90.00 90.00
Space group I4/mmm (No. 139)
Inequivalent atoms, fractional coordinates:
Ac 0.0000 0.0000 0.1309 x4
Bi 0.0000 0.0000 0.3254 x4
Bi 0.0000 0.5000 0.0000 x4
Pd 0.0000 0.5000 0.2500 x4

The energy comes out at -79.3 eV for the cell shown. The calculation puts the formation enthalpy at 0 K at -0.6887 eV/atom. The calculation puts the energy above the most stable polymorph in this dataset at 0.0000 eV/atom.



VASP calculation (PBE) on Ta2BeSi after structural relaxation.

abc: 3.7024 3.7431 8.5668
angles: 90.00 90.00 90.00
Space group Imm2 (No. 44)
Inequivalent atoms, fractional coordinates:
Ta 0.0000 0.0000 0.0000 x2
Ta 0.0000 0.5000 0.2485 x2
Be 0.0000 0.5000 0.7518 x2
Si 0.0000 0.0000 0.4959 x2

The energy comes out at -66.6 eV for the cell shown. The calculation puts the energy above the most stable polymorph in this dataset at 0.4566 eV/atom. The calculation puts the uncorrected formation energy at -0.11 eV per atom.



VASP calculation (PBE) on YHfTh after structural relaxation.

abc: 5.4102 5.4102 3.4161
angles: 90.00 90.00 120.00
Space group P-6m2 (No. 187)
Inequivalent atoms, fractional coordinates:
Y 0.0000 0.0000 0.0000 x1
Hf 0.3333 0.6667 0.0000 x1
Th 0.6667 0.3333 0.5000 x1

The energy comes out at -23.3 eV for the cell shown. The calculation puts the formation enthalpy at 0 K at 0.1776 eV/atom. The calculation puts the energy above the most stable polymorph in this dataset at 0.0473 eV/atom.



VASP calculation (PBE) on Ti3Te2Se4 after structural relaxation.

abc: 3.5536 3.5536 21.8854
angles: 90.00 90.00 120.00
Space group P3m1 (No. 156)
Inequivalent atoms, fractional coordinates:
Ti 0.0000 0.0000 0.0000 x1
Ti 0.0000 0.0000 0.3578 x1
Ti 0.6667 0.3333 0.6711 x1
Te 0.6667 0.3333 0.0855 x1
Te 0.6667 0.3333 0.9149 x1
Se 0.0000 0.0000 0.5981 x1
Se 0.0000 0.0000 0.7448 x1
Se 0.6667 0.3333 0.2843 x1
Se 0.6667 0.3333 0.4310 x1

The energy comes out at -51.5 eV for the cell shown. The calculation puts the uncorrected formation energy at -0.84 eV per atom.



VASP calculation (PBE) on CaTbLu after structural relaxation.

abc: 3.5816 3.5816 9.0531
angles: 90.00 90.00 120.00
Space group P3m1 (No. 156)
Inequivalent atoms, fractional coordinates:
Ca 0.0000 0.0000 0.0000 x1
Tb 0.3333 0.6667 0.6451 x1
Lu 0.6667 0.3333 0.3432 x1

The energy comes out at -10.9 eV for the cell shown. The calculation puts the formation enthalpy at 0 K at 0.0914 eV/atom. The calculation puts the energy above the most stable polymorph in this dataset at 0.0093 eV/atom.



VASP calculation (PBE) on SrPm2Sn9 after structural relaxation.

abc: 4.8528 4.8528 14.0544
angles: 90.00 90.00 90.00
Space group P4/mmm (No. 123)
Inequivalent atoms, fractional coordinates:
Sr 0.0000 0.0000 0.0000 x1
Pm 0.0000 0.0000 0.3381 x2
Sn 0.0000 0.5000 0.1713 x4
Sn 0.0000 0.5000 0.5000 x2
Sn 0.5000 0.5000 0.0000 x1
Sn 0.5000 0.5000 0.3349 x2

The energy comes out at -52.7 eV for the cell shown. The calculation puts the formation enthalpy at 0 K at -0.4600 eV/atom.



VASP calculation (PBE) on CeEr2AgHg4 after structural relaxation.

abc: 5.0646 5.0646 26.9169
angles: 90.00 90.00 120.00
Space group R-3m (No. 166, hexagonal axes)
Inequivalent atoms, fractional coordinates:
Ce 0.0000 0.0000 0.0000 x3
Er 0.0000 0.0000 0.2401 x6
Ag 0.0000 0.0000 0.5000 x3
Hg 0.0000 0.0000 0.1254 x6
Hg 0.0000 0.0000 0.3814 x6

The energy comes out at -65.1 eV for the cell shown. The calculation puts the formation enthalpy at 0 K at -0.3216 eV/atom.



VASP calculation (PBE) on Mg2OsRu2 after structural relaxation.

abc: 3.4481 3.4481 13.6816
angles: 90.00 90.00 90.00
Space group I4/mmm (No. 139)
Inequivalent atoms, fractional coordinates:
Mg 0.0000 0.5000 0.2500 x4
Os 0.0000 0.0000 0.0000 x2
Ru 0.0000 0.0000 0.4042 x4

The energy comes out at -56.8 eV for the cell shown. The calculation puts the formation enthalpy at 0 K at 0.9152 eV/atom. The calculation puts the energy above the most stable polymorph in this dataset at 0.6644 eV/atom.



VASP calculation (PBE) on Pm2SmYHo5 after structural relaxation.

abc: 8.6957 8.6957 15.4773
angles: 90.00 90.00 90.00
Space group I4/mcm (No. 140)
Inequivalent atoms, fractional coordinates:
Pm 0.1165 0.3835 0.0000 x8
Sm 0.0000 0.0000 0.2500 x4
Y 0.0000 0.5000 0.2500 x4
Ho 0.0000 0.0000 0.0000 x4
Ho 0.2110 0.2890 0.3622 x16

The energy comes out at -164.6 eV for the cell shown. The calculation puts the formation enthalpy at 0 K at 0.2685 eV/atom.



VASP calculation (PBE) on TbNd3Te4 after structural relaxation.

abc: 9.0448 12.6402 4.4123
angles: 90.00 90.00 90.00
Space group Cmmm (No. 65)
Inequivalent atoms, fractional coordinates:
Tb 0.0000 0.0000 0.0000 x2
Nd 0.0000 0.5000 0.0000 x2
Nd 0.2500 0.2500 0.5000 x4
Te 0.0000 0.2464 0.0000 x4
Te 0.2429 0.0000 0.5000 x4

The energy comes out at -85.3 eV for the cell shown. The calculation puts the energy above the most stable polymorph in this dataset at 0.0000 eV/atom. The calculation puts the uncorrected formation energy at -1.39 eV per atom.